(1)
Below is an optimized crystal structure of NdPaOs, with properties calculated at the GGA-PBE level.

extended XYZ file:
```
3
Lattice="3.5724 0.0000 0.0000 0.0000 3.5724 0.0000 -1.7862 -1.7862 5.6434" Properties=species:S:1:pos:R:3 pbc="T T T"
Os 0.0000 0.0000 3.4300
Nd 1.7862 1.7862 5.6061
Pa 1.7862 1.7862 2.2507
```

total magnetization = 0.00 μB per cell
calculated formation energy = -139 meV/atom
relative energy among the computed polymorphs = 0.000 eV per atom
space group = I4mm, No. 107



(2)
Below is an optimized crystal structure of Cs2Rb6Cd, with properties calculated at the GGA-PBE level.

extended XYZ file:
```
9
Lattice="-3.6693 0.4164 3.9321 1.4875 -11.9621 2.6549 7.7781 8.7408 6.3325" Properties=species:S:1:pos:R:3 pbc="T T T"
Rb -0.9373 -7.0083 3.5677
Rb 7.3699 -2.3344 7.1244
Rb 0.3712 -2.9848 0.6624
Rb 1.0921 -1.0312 4.8284
Rb 3.5396 5.9833 6.3695
Rb 3.0244 -9.9636 3.8774
Cs 5.3770 1.5969 4.8485
Cs 3.9231 -5.0958 4.2005
Cd -1.8143 0.0444 2.0024
```

total magnetization = 0.00 μB per cell
calculated formation energy = 17 meV/atom
space group = Amm2, No. 38



(3)
Below is an optimized crystal structure of TeP2BrO8, with properties calculated at the GGA-PBE level.

extended XYZ file:
```
12
Lattice="5.2641 0.0024 -0.6762 2.4304 4.6695 -0.6762 -0.8582 -0.5210 8.6198" Properties=species:S:1:pos:R:3 pbc="T T T"
O 1.7314 2.5367 6.5743
O 6.1264 3.7197 -0.3093
O 5.6665 3.4405 2.2579
O 3.0493 0.3661 6.5743
O 3.7870 3.7848 0.6931
O 0.7100 0.4311 7.5767
O 5.1050 1.6141 0.6931
O 1.1699 0.7103 5.0095
P 1.6277 0.9883 6.4736
P 5.2087 3.1625 0.7938
Br -0.4291 -0.2605 4.3099
Te 0.0000 0.0000 0.0000
```

E_form (uncorrected) = -1.3972 eV/atom
total magnetization = 0.50 μB per cell
space group = C2/m, No. 12



Which formula does entry 1 have?
NdPaOs



Please write out number 1 again, unchanged.
Below is an optimized crystal structure of NdPaOs, with properties calculated at the GGA-PBE level.

extended XYZ file:
```
3
Lattice="3.5724 0.0000 0.0000 0.0000 3.5724 0.0000 -1.7862 -1.7862 5.6434" Properties=species:S:1:pos:R:3 pbc="T T T"
Os 0.0000 0.0000 3.4300
Nd 1.7862 1.7862 5.6061
Pa 1.7862 1.7862 2.2507
```

total magnetization = 0.00 μB per cell
calculated formation energy = -139 meV/atom
relative energy among the computed polymorphs = 0.000 eV per atom
space group = I4mm, No. 107



What did the first record say?
Below is an optimized crystal structure of NdPaOs, with properties calculated at the GGA-PBE level.

extended XYZ file:
```
3
Lattice="3.5724 0.0000 0.0000 0.0000 3.5724 0.0000 -1.7862 -1.7862 5.6434" Properties=species:S:1:pos:R:3 pbc="T T T"
Os 0.0000 0.0000 3.4300
Nd 1.7862 1.7862 5.6061
Pa 1.7862 1.7862 2.2507
```

total magnetization = 0.00 μB per cell
calculated formation energy = -139 meV/atom
relative energy among the computed polymorphs = 0.000 eV per atom
space group = I4mm, No. 107